## w
FeSF3 (PBE with a Hubbard U, optimized geometry); space-group type = Pm-3m (221); magnetization = 2.49 μB per formula unit; DOS at the Fermi energy = 0.79 states/eV/atom
1.0
-2.686 0.036 3.069
-1.423 -3.628 -1.203
2.719 -1.863 2.401
F S Fe
3 1 1
Cartesian
-1.343 0.018 1.534 F
1.360 -0.931 1.201 F
-0.711 -1.814 -0.601 F
-0.694 -2.727 2.134 S
0.000 0.000 0.000 Fe

## x
FeSF3 (PBE with a Hubbard U, optimized geometry); space-group type = Pm-3m (221); magnetization = 3.86 μB per formula unit; DOS at the Fermi energy = 3.07 states/eV/atom
1.0
4.288 0.000 0.000
0.000 4.288 0.000
0.000 0.000 4.288
Fe F S
1 3 1
Cartesian
2.144 2.144 2.144 Fe
2.144 0.000 0.000 F
0.000 0.000 2.144 F
0.000 2.144 0.000 F
0.000 0.000 0.000 S

Energies relative to the most stable structure, in eV/atom: w 0.000; x 1.097.

## w
Fe3SbF (PBE with a Hubbard U, optimized geometry); space-group type = Pm-3m (221); magnetization = 10.00 μB per formula unit; DOS at the Fermi energy = 1.35 states/eV/atom
1.0
-4.554 -2.092 0.123
0.360 -1.069 -4.884
2.065 -4.428 1.121
Fe F Sb
3 1 1
Cartesian
-2.277 -1.046 0.061 Fe
0.180 -0.535 -2.442 Fe
1.032 -2.214 0.561 Fe
-1.065 -3.795 -1.820 F
0.000 0.000 0.000 Sb

## x
Fe3SbF (PBE with a Hubbard U, optimized geometry); space-group type = Pm-3m (221); magnetization = 10.04 μB per formula unit; DOS at the Fermi energy = 0.32 states/eV/atom
1.0
-1.335 4.023 0.638
-0.801 0.399 -4.192
-3.994 -1.424 0.628
Fe F Sb
3 1 1
Cartesian
-0.401 0.200 -2.096 Fe
-1.997 -0.712 0.314 Fe
-0.667 2.012 0.319 Fe
0.000 0.000 0.000 F
-3.065 1.499 -1.463 Sb

Energies relative to the most stable structure, in eV/atom: w 0.561; x 0.000.

## w
FeSbTe2F (PBE with a Hubbard U, optimized geometry); space-group type = P4/mmm (123); magnetization = 3.84 μB per formula unit; DOS at the Fermi energy = 0.95 states/eV/atom
1.0
-0.212 4.977 -1.211
-3.949 0.613 3.211
3.260 1.065 3.806
F Fe Sb Te
1 1 1 2
Cartesian
-0.450 3.328 2.903 F
0.000 0.000 0.000 Fe
1.630 0.533 1.903 Sb
-1.974 0.307 1.606 Te
-0.106 2.488 -0.606 Te

## x
FeSbTe2F (PBE with a Hubbard U, optimized geometry); space-group type = P4/mmm (123); magnetization = 4.17 μB per formula unit; DOS at the Fermi energy = 1.31 states/eV/atom
1.0
-1.867 0.400 -4.993
-1.476 -5.136 0.141
-3.918 1.169 1.559
Fe F Te Sb
1 1 2 1
Cartesian
-3.631 -1.784 -1.647 Fe
0.000 0.000 0.000 F
-0.934 0.200 -2.497 Te
-0.738 -2.568 0.070 Te
-1.959 0.584 0.779 Sb

Energies relative to the most stable structure, in eV/atom: w 0.000; x 0.138.

## w
ScFe3F (PBE with a Hubbard U, optimized geometry); space-group type = Pm-3m (221); magnetization = 10.00 μB per formula unit; DOS at the Fermi energy = 0.78 states/eV/atom
1.0
5.107 0.000 0.000
0.000 5.107 0.000
0.000 0.000 5.107
Fe Sc F
3 1 1
Cartesian
2.554 0.000 0.000 Fe
0.000 2.554 0.000 Fe
0.000 0.000 2.554 Fe
0.000 0.000 0.000 Sc
2.554 2.554 2.554 F

## x
ScFe3F (PBE with a Hubbard U, optimized geometry); space-group type = Pm-3m (221); magnetization = 10.17 μB per formula unit; DOS at the Fermi energy = 1.27 states/eV/atom
1.0
-3.573 2.114 1.393
-1.717 -3.794 1.353
1.860 0.558 3.925
F Fe Sc
1 3 1
Cartesian
0.000 0.000 0.000 F
-0.858 -1.897 0.677 Fe
0.930 0.279 1.962 Fe
-1.787 1.057 0.697 Fe
-1.715 -0.561 3.336 Sc

Energies relative to the most stable structure, in eV/atom: w 0.979; x 0.000.

## w
ScFeF3 (PBE with a Hubbard U, optimized geometry); space-group type = Pm-3m (221); magnetization = 3.21 μB per formula unit; DOS at the Fermi energy = 0.55 states/eV/atom
1.0
4.191 0.000 0.000
0.000 4.191 0.000
0.000 0.000 4.191
F Sc Fe
3 1 1
Cartesian
0.000 2.096 0.000 F
2.096 0.000 0.000 F
0.000 0.000 2.096 F
0.000 0.000 0.000 Sc
2.096 2.096 2.096 Fe

## x
ScFeF3 (PBE with a Hubbard U, optimized geometry); space-group type = Pm-3m (221); magnetization = 1.83 μB per formula unit; DOS at the Fermi energy = 0.94 states/eV/atom
1.0
-2.951 0.112 2.755
1.839 -2.927 2.089
2.055 2.780 2.088
Fe Sc F
1 1 3
Cartesian
0.000 0.000 0.000 Fe
0.471 -0.017 3.466 Sc
-1.476 0.056 1.378 F
1.027 1.390 1.044 F
0.919 -1.464 1.044 F

Energies relative to the most stable structure, in eV/atom: w 0.000; x 0.899.

## w
Sc2FeF (PBE with a Hubbard U, optimized geometry); space-group type = Fm-3m (225); magnetization = 0.00 μB per formula unit; DOS at the Fermi energy = 1.47 states/eV/atom
1.0
0.000 3.152 3.152
3.152 0.000 3.152
3.152 3.152 0.000
Sc F Fe
2 1 1
Cartesian
1.576 1.576 1.576 Sc
4.728 4.728 4.728 Sc
0.000 0.000 0.000 F
3.152 3.152 3.152 Fe

## x
Sc2FeF (PBE with a Hubbard U, optimized geometry); space-group type = R-3m (166); magnetization = 1.47 μB per formula unit; DOS at the Fermi energy = 0.47 states/eV/atom
1.0
1.965 0.000 7.982
-0.982 1.702 7.982
-0.982 -1.702 7.982
Fe Sc F
1 2 1
Cartesian
0.000 0.000 11.973 Fe
0.000 0.000 2.042 Sc
0.000 0.000 21.903 Sc
0.000 0.000 0.000 F

Energies relative to the most stable structure, in eV/atom: w 1.111; x 0.000.

## w
FeSe2F2 (PBE with a Hubbard U, optimized geometry); space-group type = I4/mmm (139); magnetization = 4.20 μB per formula unit; DOS at the Fermi energy = 0.29 states/eV/atom
1.0
-1.275 -3.042 -0.982
2.036 -1.588 2.275
-6.010 -1.636 6.841
Se Fe F
2 1 2
Cartesian
-3.452 -3.497 3.253 Se
-1.796 -2.770 4.881 Se
0.000 0.000 0.000 Fe
-4.785 -4.041 6.669 F
-0.464 -2.225 1.465 F

## x
FeSe2F2 (PBE with a Hubbard U, optimized geometry); space-group type = P4/mbm (127); magnetization = 4.04 μB per formula unit; DOS at the Fermi energy = 0.22 states/eV/atom
1.0
5.342 0.000 0.000
0.000 5.342 0.000
0.000 0.000 6.978
F Se Fe
4 4 2
Cartesian
0.991 1.680 0.000 F
1.680 4.351 0.000 F
3.662 0.991 0.000 F
4.351 3.662 0.000 F
4.009 1.338 3.489 Se
1.333 4.004 3.489 Se
4.004 4.009 3.489 Se
1.338 1.333 3.489 Se
0.000 0.000 0.000 Fe
2.671 2.671 0.000 Fe

Energies relative to the most stable structure, in eV/atom: w 0.687; x 0.000.

## w
FeSeF3 (PBE with a Hubbard U, optimized geometry); space-group type = Pm-3m (221); magnetization = 2.25 μB per formula unit; DOS at the Fermi energy = 0.65 states/eV/atom
1.0
-2.674 0.634 -3.120
-3.161 -0.050 2.699
0.375 4.108 0.514
F Se Fe
3 1 1
Cartesian
-1.581 -0.025 1.350 F
-1.337 0.317 -1.560 F
0.187 2.054 0.257 F
-2.730 2.347 0.047 Se
0.000 0.000 0.000 Fe

## x
FeSeF3 (PBE with a Hubbard U, optimized geometry); space-group type = Pm-3m (221); magnetization = 3.22 μB per formula unit; DOS at the Fermi energy = 0.44 states/eV/atom
1.0
4.419 0.000 0.000
0.000 4.419 0.000
0.000 0.000 4.419
Se F Fe
1 3 1
Cartesian
0.000 0.000 0.000 Se
0.000 0.000 2.209 F
2.209 0.000 0.000 F
0.000 2.209 0.000 F
2.209 2.209 2.209 Fe

Energies relative to the most stable structure, in eV/atom: w 0.000; x 0.759.

## w
FeSe3F (PBE with a Hubbard U, optimized geometry); space-group type = Pm-3m (221); magnetization = 4.62 μB per formula unit; DOS at the Fermi energy = 1.20 states/eV/atom
1.0
-2.610 -3.340 -1.864
3.516 -2.984 0.425
-1.508 -1.176 4.218
Se F Fe
3 1 1
Cartesian
-1.305 -1.670 -0.932 Se
1.758 -1.492 0.212 Se
-0.754 -0.588 2.109 Se
0.000 0.000 0.000 F
-0.301 -3.750 1.389 Fe

## x
FeSe3F (PBE with a Hubbard U, optimized geometry); space-group type = Pm-3m (221); magnetization = 4.04 μB per formula unit; DOS at the Fermi energy = 1.12 states/eV/atom
1.0
4.790 0.000 0.000
0.000 4.790 0.000
0.000 0.000 4.790
Se Fe F
3 1 1
Cartesian
2.395 0.000 0.000 Se
0.000 2.395 0.000 Se
0.000 0.000 2.395 Se
0.000 0.000 0.000 Fe
2.395 2.395 2.395 F

Energies relative to the most stable structure, in eV/atom: w 0.348; x 0.000.

## w
FeSiF (PBE with a Hubbard U, optimized geometry); space-group type = P3m1 (156); magnetization = 2.51 μB per formula unit; DOS at the Fermi energy = 0.24 states/eV/atom
1.0
-0.761 1.720 2.337
-1.882 -2.122 -0.977
4.695 -7.361 6.948
Si F Fe
2 2 2
Cartesian
1.569 -3.800 5.234 Si
0.513 -0.805 0.759 Si
4.530 -7.102 6.703 F
2.247 -4.863 6.237 F
-0.295 -2.743 1.923 Fe
2.026 -3.176 2.998 Fe

## x
FeSiF (PBE with a Hubbard U, optimized geometry); space-group type = C2/m (12); magnetization = 3.00 μB per formula unit; DOS at the Fermi energy = 0.09 states/eV/atom
1.0
8.939 0.000 0.139
0.000 2.915 0.000
-4.186 0.000 7.556
Si F Fe
4 4 4
Cartesian
-1.226 0.000 7.405 Si
0.867 1.457 3.627 Si
5.979 0.000 0.290 Si
3.886 1.457 4.068 Si
5.467 1.457 4.468 F
-0.714 1.457 3.228 F
-2.807 0.000 7.005 F
7.560 0.000 0.690 F
2.278 0.000 5.317 Fe
4.371 1.457 1.539 Fe
0.382 1.457 6.156 Fe
2.475 0.000 2.378 Fe

## y
FeSiF (PBE with a Hubbard U, optimized geometry); space-group type = P4/nmm (129); magnetization = 2.60 μB per formula unit; DOS at the Fermi energy = 0.16 states/eV/atom
1.0
2.976 0.000 0.000
0.000 2.976 0.000
0.000 0.000 9.813
Si Fe F
2 2 2
Cartesian
1.488 0.000 6.929 Si
0.000 1.488 2.884 Si
1.488 0.000 4.141 Fe
0.000 1.488 5.672 Fe
1.488 0.000 8.541 F
0.000 1.488 1.272 F

Energies relative to the most stable structure, in eV/atom: w 0.092; x 0.076; y 0.000.

## w
FeSiF (PBE with a Hubbard U, optimized geometry); space-group type = P-1 (2); magnetization = 2.89 μB per formula unit; DOS at the Fermi energy = 0.13 states/eV/atom
1.0
3.024 -0.002 -0.006
1.509 4.133 -0.021
0.066 0.537 8.083
Si Fe F
2 2 2
Cartesian
3.056 3.884 5.473 Si
1.543 0.784 2.583 Si
3.055 1.483 4.618 Fe
1.543 3.185 3.438 Fe
3.056 3.543 7.063 F
1.543 1.125 0.993 F

## x
FeSiF (PBE with a Hubbard U, optimized geometry); space-group type = I4mm (107); magnetization = 2.95 μB per formula unit; DOS at the Fermi energy = 0.21 states/eV/atom
1.0
3.075 0.000 0.000
0.000 3.075 0.000
0.000 0.000 9.889
F Fe Si
2 2 2
Cartesian
0.000 0.000 2.688 F
1.538 1.538 7.633 F
0.000 0.000 0.514 Fe
1.538 1.538 5.459 Fe
0.000 0.000 4.406 Si
1.538 1.538 9.350 Si

Energies relative to the most stable structure, in eV/atom: w 0.000; x 0.085.

## w
Fe2SiF (PBE with a Hubbard U, optimized geometry); space-group type = Fm-3m (225); magnetization = 6.46 μB per formula unit; DOS at the Fermi energy = 0.52 states/eV/atom
1.0
1.802 -3.585 1.453
0.144 -0.767 4.195
-2.428 -3.075 1.691
Fe F Si
2 1 1
Cartesian
-0.362 -5.570 5.504 Fe
-0.121 -1.857 1.835 Fe
0.000 0.000 0.000 F
-0.241 -3.714 3.670 Si

## x
Fe2SiF (PBE with a Hubbard U, optimized geometry); space-group type = I-42d (122); magnetization = 7.00 μB per formula unit; DOS at the Fermi energy = 0.10 states/eV/atom
1.0
6.253 0.000 0.000
0.000 6.253 0.000
3.126 3.126 3.213
Si Fe F
2 4 2
Cartesian
0.000 0.000 0.000 Si
6.253 3.126 1.607 Si
4.690 4.980 2.410 Fe
4.400 1.563 0.803 Fe
1.853 4.690 0.803 Fe
7.816 7.526 2.410 Fe
3.126 6.253 1.607 F
3.126 3.126 0.000 F

Energies relative to the most stable structure, in eV/atom: w 0.267; x 0.000.